HfVPt2Se: optimized geometry, GGA-PBE.

Geometry as CIF:
```
data_HfVPt2Se
_symmetry_space_group_name_H-M 'P 1'
_symmetry_Int_Tables_number 1
_symmetry_space_group_name_Hall 'P 1'
_cell_length_a 4.712
_cell_length_b 4.712
_cell_length_c 4.503
_cell_angle_alpha 90.00
_cell_angle_beta 90.00
_cell_angle_gamma 90.00
loop_
_atom_site_label
_atom_site_fract_x
_atom_site_fract_y
_atom_site_fract_z
Hf1 0.000 0.000 0.000
V1 0.500 0.500 0.500
Pt1 0.000 0.500 0.500
Pt2 0.500 0.000 0.500
Se1 0.500 0.500 0.000
```

Results
The magnetization is 0.0 Bohr magnetons per cell. Its space group is P4/mmm (123).

ZrTeRhI2: optimized geometry, GGA-PBE.

Geometry as CIF:
```
data_ZrTeRhI2
_symmetry_space_group_name_H-M 'P 1'
_symmetry_Int_Tables_number 1
_symmetry_space_group_name_Hall 'P 1'
_cell_length_a 5.248
_cell_length_b 5.248
_cell_length_c 5.331
_cell_angle_alpha 90.00
_cell_angle_beta 90.00
_cell_angle_gamma 90.00
loop_
_atom_site_label
_atom_site_fract_x
_atom_site_fract_y
_atom_site_fract_z
Zr1 0.000 0.000 0.000
Te1 0.500 0.500 0.000
Rh1 0.500 0.500 0.500
I1 0.000 0.500 0.500
I2 0.500 0.000 0.500
```

Results
The energy above the most stable polymorph in this dataset is 0 meV/atom. The magnetization is 1.5 Bohr magnetons per cell. Its space group is P4/mmm (123).

Li2FeSnN: optimized geometry, GGA-PBE.

Geometry as CIF:
```
data_Li2FeSnN
_symmetry_space_group_name_H-M 'P 1'
_symmetry_Int_Tables_number 1
_symmetry_space_group_name_Hall 'P 1'
_cell_length_a 4.208
_cell_length_b 4.208
_cell_length_c 3.557
_cell_angle_alpha 90.00
_cell_angle_beta 90.00
_cell_angle_gamma 90.00
loop_
_atom_site_label
_atom_site_fract_x
_atom_site_fract_y
_atom_site_fract_z
Li1 0.000 0.500 0.000
Li2 0.500 0.000 0.000
Fe1 0.000 0.000 0.500
Sn1 0.500 0.500 0.500
N1 0.000 0.000 0.000
```

Results
The magnetization is 0.0 Bohr magnetons per cell. Its space group is P4/mmm (123).

| no. | formation energy without anion corrections (meV/atom) | DOS(E_F) (states/eV/atom) |
| --- | --- | --- |
| 1 | 199 | 0.8477 |
| 2 | 390 | 1.3420 |
| 3 | -284 | 0.3960 |